Run P
{"formula": "CaAg2P2", "functional": "PBE", "state": "relaxed", "lattice_angstrom": [[-1.325, -4.505, -0.713], [3.780, -1.500, 2.452], [-1.247, -2.890, 4.753]], "species": ["P", "P", "Ag", "Ca", "Ag"], "fractional_positions": [[0.750, 0.250, 0.500], [0.250, 0.750, 0.500], [0.350, 0.350, 0.300], [0.000, 0.000, 0.000], [0.650, 0.650, 0.700]], "density_g_cm3": 5.08}

***

Run Q
{"formula": "CaAg2P2", "functional": "PBE", "state": "relaxed", "lattice_angstrom": [[7.651, 0.000, 0.000], [0.000, 7.651, 0.000], [0.000, 0.000, 3.322]], "species": ["Ca", "P", "P", "Ag", "Ag", "P", "Ag", "Ca", "Ag", "P"], "fractional_positions": [[0.000, 0.000, 0.000], [0.834, 0.666, 0.000], [0.166, 0.334, 0.000], [0.136, 0.636, 0.500], [0.364, 0.136, 0.500], [0.334, 0.834, 0.000], [0.864, 0.364, 0.500], [0.500, 0.500, 0.000], [0.636, 0.864, 0.500], [0.666, 0.166, 0.000]], "density_g_cm3": 5.43}

***

Tell me which of them is the least stable. Sure, it is run Q.

***

Run P
{"formula": "CaAgP2S", "functional": "PBE", "state": "relaxed", "lattice_angstrom": [[-4.463, 1.560, 0.709], [-0.430, -2.935, 3.749], [1.761, 3.649, 3.059]], "species": ["S", "P", "Ca", "Ag", "P"], "fractional_positions": [[0.000, 0.000, 0.500], [0.500, 0.000, 0.000], [0.500, 0.500, 0.500], [0.000, 0.000, 0.000], [0.000, 0.500, 0.000]], "density_g_cm3": 3.46}

***

Run Q
{"formula": "CaAgP2S", "functional": "PBE", "state": "relaxed", "lattice_angstrom": [[5.248, 0.000, 0.000], [0.000, 5.248, 0.000], [0.000, 0.000, 5.119]], "species": ["P", "S", "Ag", "P", "Ca"], "fractional_positions": [[0.500, 0.000, 0.000], [0.000, 0.000, 0.500], [0.500, 0.500, 0.500], [0.000, 0.500, 0.000], [0.000, 0.000, 0.000]], "density_g_cm3": 2.85}

***

Tell me which of them is the least stable. Sure, it is run Q.

***

Run P
{"formula": "Ca4AgPb", "functional": "PBE", "state": "relaxed", "lattice_angstrom": [[6.398, -0.138, 0.000], [-1.818, 8.694, 0.000], [-2.290, -4.278, 7.227]], "species": ["Ca", "Pb", "Ag", "Ca", "Ca", "Ca", "Ag", "Ca", "Ca", "Ca", "Ca", "Pb"], "fractional_positions": [[0.337, 0.636, 0.869], [0.385, 0.635, 0.270], [0.248, 0.998, 0.995], [0.216, 0.299, 0.353], [0.363, 0.946, 0.647], [0.784, 0.701, 0.647], [0.752, 0.002, 0.005], [0.663, 0.364, 0.131], [0.032, 0.233, 0.869], [0.968, 0.767, 0.131], [0.637, 0.054, 0.353], [0.615, 0.365, 0.730]], "density_g_cm3": 3.95}

***

Run Q
{"formula": "Ca4AgPb", "functional": "PBE", "state": "relaxed", "lattice_angstrom": [[-6.579, -0.715, 0.805], [-3.950, -0.722, -5.321], [-2.889, -5.880, -1.233]], "species": ["Ca", "Ca", "Ca", "Pb", "Ca", "Ag"], "fractional_positions": [[0.375, 0.375, 0.375], [0.375, 0.375, 0.874], [0.874, 0.375, 0.375], [0.750, 0.750, 0.750], [0.375, 0.874, 0.375], [0.000, 0.000, 0.000]], "density_g_cm3": 3.77}

***

Tell me which of them is the least stable. Sure, it is run Q.

***

Run P
{"formula": "CaAg3Pb", "functional": "PBE", "state": "relaxed", "lattice_angstrom": [[-3.761, 0.558, -3.800], [-2.297, -4.589, 1.600], [-3.078, 2.744, 3.449]], "species": ["Ag", "Pb", "Ca", "Ag", "Ag"], "fractional_positions": [[0.500, 0.000, 0.000], [0.500, 0.500, 0.500], [0.000, 0.000, 0.000], [0.000, 0.500, 0.000], [0.000, 0.000, 0.500]], "density_g_cm3": 6.10}

***

Run Q
{"formula": "CaAg3Pb", "functional": "PBE", "state": "relaxed", "lattice_angstrom": [[-3.333, -4.093, -0.627], [4.077, -3.384, 0.417], [-0.720, -0.220, 5.261]], "species": ["Ca", "Ag", "Pb", "Ag", "Ag"], "fractional_positions": [[0.500, 0.500, 0.500], [0.500, 0.000, 0.000], [0.000, 0.000, 0.000], [0.000, 0.500, 0.000], [0.000, 0.000, 0.500]], "density_g_cm3": 6.31}

***

Run R
{"formula": "CaAg3Pb", "functional": "PBE", "state": "relaxed", "lattice_angstrom": [[4.931, 0.000, 0.000], [0.000, 7.222, 0.000], [0.000, 0.000, 6.556]], "species": ["Pb", "Ag", "Ca", "Ag", "Ca", "Ag", "Ag", "Ag", "Ag", "Pb"], "fractional_positions": [[0.476, 0.631, 0.201], [0.476, 0.948, 0.492], [0.476, 0.381, 0.701], [0.976, 0.115, 0.701], [0.976, 0.972, 0.201], [0.976, 0.405, 0.992], [0.476, 0.238, 0.201], [0.476, 0.948, 0.909], [0.976, 0.405, 0.409], [0.976, 0.722, 0.701]], "density_g_cm3": 8.12}

***

Tell me which of them is the least stable. Sure, it is run P.

***

Run P
{"formula": "Ca3Ag2Pb", "functional": "PBE", "state": "relaxed", "lattice_angstrom": [[-0.935, 1.930, 3.071], [1.311, -2.777, 2.145], [10.433, 4.967, 0.056]], "species": ["Ca", "Ca", "Ag", "Ag", "Pb", "Ca"], "fractional_positions": [[0.000, 0.000, 0.318], [0.000, 0.000, 0.682], [0.500, 0.500, 0.842], [0.500, 0.500, 0.158], [0.500, 0.500, 0.500], [0.000, 0.000, 0.000]], "density_g_cm3": 5.56}

***

Run Q
{"formula": "Ca3Ag2Pb", "functional": "PBE", "state": "relaxed", "lattice_angstrom": [[5.331, 0.000, 0.000], [-2.666, 4.617, 0.000], [0.000, 0.000, 13.132]], "species": ["Ca", "Ag", "Ca", "Pb", "Ca", "Ag", "Pb", "Ca", "Ca", "Ag", "Ca", "Ag"], "fractional_positions": [[0.333, 0.667, 0.921], [0.333, 0.667, 0.165], [0.000, 0.000, 0.244], [0.333, 0.667, 0.671], [0.333, 0.667, 0.418], [0.000, 0.000, 0.000], [0.667, 0.333, 0.329], [0.000, 0.000, 0.756], [0.667, 0.333, 0.079], [0.000, 0.000, 0.500], [0.667, 0.333, 0.582], [0.667, 0.333, 0.835]], "density_g_cm3": 5.58}

***

Tell me which of them is the least stable. Sure, it is run P.

***

Run P
{"formula": "Ca2Ag3Pb", "functional": "PBE", "state": "relaxed", "lattice_angstrom": [[-1.062, 3.790, 0.336], [0.072, 0.415, -4.463], [-8.265, -4.525, 1.697]], "species": ["Pb", "Ca", "Ag", "Ag", "Ag", "Ca"], "fractional_positions": [[0.459, 0.959, 0.917], [0.130, 0.130, 0.261], [0.300, 0.800, 0.600], [0.698, 0.698, 0.397], [0.550, 0.550, 0.099], [0.863, 0.363, 0.726]], "density_g_cm3": 6.30}

***

Run Q
{"formula": "Ca2Ag3Pb", "functional": "PBE", "state": "relaxed", "lattice_angstrom": [[-3.253, 4.848, -1.636], [-5.168, -2.094, -2.381], [0.570, -1.205, 9.757]], "species": ["Ca", "Ca", "Ca", "Ag", "Ag", "Ag", "Ag", "Pb", "Ag", "Ag", "Ca", "Pb"], "fractional_positions": [[0.243, 0.757, 0.000], [0.750, 0.250, 0.500], [0.757, 0.243, 0.000], [0.836, 0.836, 0.162], [0.164, 0.164, 0.838], [0.835, 0.835, 0.670], [0.165, 0.165, 0.330], [0.665, 0.665, 0.330], [0.674, 0.674, 0.838], [0.326, 0.326, 0.162], [0.250, 0.750, 0.500], [0.335, 0.335, 0.670]], "density_g_cm3": 6.73}

***

Tell me which of them is the least stable. Sure, it is run P.

***

Run P
{"formula": "Ca3AgPd", "functional": "PBE", "state": "relaxed", "lattice_angstrom": [[-5.002, 1.929, 1.240], [-0.832, -4.299, 3.332], [2.137, 2.842, 4.199]], "species": ["Ca", "Ca", "Ag", "Pd", "Ca"], "fractional_positions": [[0.000, 0.500, 0.000], [0.500, 0.000, 0.000], [0.500, 0.500, 0.500], [0.000, 0.000, 0.000], [0.000, 0.000, 0.500]], "density_g_cm3": 3.33}

***

Run Q
{"formula": "Ca3AgPd", "functional": "PBE", "state": "relaxed", "lattice_angstrom": [[7.713, 0.000, 0.000], [0.000, 7.862, -2.805], [0.000, 0.709, 9.099]], "species": ["Ca", "Pd", "Ca", "Ag", "Ca", "Ca", "Ca", "Ag", "Ca", "Ag", "Ca", "Ag", "Pd", "Ca", "Ca", "Pd", "Ca", "Ca", "Pd", "Ca"], "fractional_positions": [[0.318, 0.536, 0.153], [0.673, 0.032, 0.570], [0.845, 0.403, 0.231], [0.959, 0.687, 0.075], [0.507, 0.713, 0.546], [0.993, 0.213, 0.546], [0.155, 0.597, 0.769], [0.041, 0.313, 0.925], [0.655, 0.903, 0.231], [0.541, 0.187, 0.075], [0.493, 0.287, 0.454], [0.459, 0.813, 0.925], [0.827, 0.532, 0.570], [0.682, 0.464, 0.847], [0.182, 0.036, 0.153], [0.327, 0.968, 0.430], [0.007, 0.787, 0.454], [0.345, 0.097, 0.769], [0.173, 0.468, 0.430], [0.818, 0.964, 0.847]], "density_g_cm3": 3.92}

***

Tell me which of them is the least stable. Sure, it is run P.

***

Run P
{"formula": "Ca2Ag2Pd", "functional": "PBE", "state": "relaxed", "lattice_angstrom": [[-0.750, -7.459, -2.597], [3.172, -2.674, 6.763], [-3.580, -0.197, 1.601]], "species": ["Ag", "Ca", "Pd", "Ca", "Ag", "Ca", "Ca", "Ag", "Ag", "Pd"], "fractional_positions": [[0.873, 0.373, 0.500], [0.671, 0.171, 0.000], [0.000, 0.000, 0.000], [0.329, 0.829, 0.000], [0.127, 0.627, 0.500], [0.171, 0.329, 0.000], [0.829, 0.671, 0.000], [0.627, 0.873, 0.500], [0.373, 0.127, 0.500], [0.500, 0.500, 0.000]], "density_g_cm3": 5.41}

***

Run Q
{"formula": "Ca2Ag2Pd", "functional": "PBE", "state": "relaxed", "lattice_angstrom": [[-5.316, 1.803, 1.083], [-1.287, -0.463, -5.551], [-4.463, -3.105, -1.650]], "species": ["Ag", "Ca", "Ag", "Pd", "Ca"], "fractional_positions": [[0.662, 0.662, 0.675], [0.750, 0.250, 0.500], [0.338, 0.338, 0.325], [0.000, 0.000, 0.000], [0.250, 0.750, 0.500]], "density_g_cm3": 5.12}

***

Run R
{"formula": "Ca2Ag2Pd", "functional": "PBE", "state": "relaxed", "lattice_angstrom": [[-4.377, 2.038, -5.721], [-3.064, -6.829, -0.088], [-2.952, 1.290, 2.718]], "species": ["Pd", "Ag", "Pd", "Ag", "Ca", "Ca", "Ag", "Ag", "Ca", "Ca"], "fractional_positions": [[0.000, 0.000, 0.000], [0.870, 0.630, 0.000], [0.500, 0.500, 0.000], [0.130, 0.370, 0.000], [0.822, 0.322, 0.500], [0.322, 0.178, 0.500], [0.630, 0.130, 0.000], [0.370, 0.870, 0.000], [0.678, 0.822, 0.500], [0.178, 0.678, 0.500]], "density_g_cm3": 5.66}

***

Run S
{"formula": "Ca2Ag2Pd", "functional": "PBE", "state": "relaxed", "lattice_angstrom": [[-3.695, -0.165, -0.825], [-0.614, -2.011, 3.153], [-3.448, 6.124, 5.513]], "species": ["Ca", "Ag", "Pd", "Ag", "Ca"], "fractional_positions": [[0.598, 0.598, 0.804], [0.750, 0.250, 0.500], [0.000, 0.000, 0.000], [0.250, 0.750, 0.500], [0.402, 0.402, 0.196]], "density_g_cm3": 5.46}

***

Tell me which of them is the least stable. Sure, it is run P.

***

Run P
{"formula": "Ca4Ag2Pd", "functional": "PBE", "state": "relaxed", "lattice_angstrom": [[-2.755, 3.669, -3.030], [0.281, -3.370, -4.336], [-5.200, -3.303, 5.717]], "species": ["Ca", "Pd", "Ag", "Ca", "Ag", "Ca", "Ca"], "fractional_positions": [[0.808, 0.808, 0.617], [0.000, 0.000, 0.000], [0.605, 0.605, 0.211], [0.192, 0.192, 0.383], [0.395, 0.395, 0.789], [0.500, 0.000, 0.000], [0.000, 0.500, 0.000]], "density_g_cm3": 3.56}

***

Run Q
{"formula": "Ca4Ag2Pd", "functional": "PBE", "state": "relaxed", "lattice_angstrom": [[-1.708, -3.108, 3.760], [3.251, -1.654, 3.661], [-1.361, 5.131, 7.175]], "species": ["Ag", "Ag", "Pd", "Ca", "Ca", "Ca", "Ca"], "fractional_positions": [[0.750, 0.750, 0.751], [0.250, 0.250, 0.249], [0.000, 0.000, 0.000], [0.627, 0.627, 0.118], [0.373, 0.373, 0.882], [0.877, 0.877, 0.368], [0.123, 0.123, 0.632]], "density_g_cm3": 4.12}

***

Tell me which of them is the least stable. Sure, it is run P.

***

Run P
{"formula": "Ca4Ag3Pd", "functional": "PBE", "state": "relaxed", "lattice_angstrom": [[-3.384, 0.271, 1.407], [-1.432, -0.566, -3.337], [-0.118, -14.415, 2.496]], "species": ["Ag", "Ca", "Pd", "Ca", "Ag", "Ca", "Ca", "Ag"], "fractional_positions": [[0.500, 0.500, 0.500], [0.000, 0.000, 0.884], [0.500, 0.500, 0.000], [0.000, 0.000, 0.628], [0.500, 0.500, 0.756], [0.000, 0.000, 0.116], [0.000, 0.000, 0.372], [0.500, 0.500, 0.244]], "density_g_cm3": 4.96}

***

Run Q
{"formula": "Ca4Ag3Pd", "functional": "PBE", "state": "relaxed", "lattice_angstrom": [[-3.802, 0.213, -1.294], [-1.057, -3.778, 2.485], [-2.621, 6.506, 8.775]], "species": ["Pd", "Ca", "Ag", "Ca", "Ag", "Ca", "Ag", "Ca"], "fractional_positions": [[0.500, 0.500, 0.077], [0.000, 0.000, 0.137], [0.500, 0.000, 0.925], [0.500, 0.500, 0.347], [0.000, 0.000, 0.424], [0.500, 0.000, 0.644], [0.000, 0.500, 0.575], [0.000, 0.500, 0.870]], "density_g_cm3": 4.67}

***

Tell me which of them is the least stable. Sure, it is run P.